[1]
VASP calculation (GGA-PBE) on a relaxed structure of La2Pm2Cd15.

Cell: 7.861 7.861 7.861 Å, 83.25 83.25 83.25°
Each line ends with the local moment (μB).
Element x y z (fractional)
La 0.334 0.334 0.334  0.06
La 0.666 0.666 0.666  0.06
Pm 0.099 0.099 0.099  0.22
Pm 0.901 0.901 0.901  0.22
Cd 0.500 0.000 0.000  0.00
Cd 0.000 0.000 0.500  0.00
Cd 0.000 0.500 0.000  0.00
Cd 0.000 0.706 0.294  0.00
Cd 0.706 0.294 0.000  0.00
Cd 0.294 0.000 0.706  0.00
Cd 0.294 0.706 0.000  0.00
Cd 0.706 0.000 0.294  0.00
Cd 0.000 0.294 0.706  0.00
Cd 0.156 0.635 0.635  0.00
Cd 0.635 0.635 0.156  0.00
Cd 0.635 0.156 0.635  0.00
Cd 0.844 0.365 0.365  0.00
Cd 0.365 0.365 0.844  0.00
Cd 0.365 0.844 0.365  0.00

Results
Energy of formation = -0.169 eV per atom
Calculated total energy = -0.070 hartree per atom
Density = 7.86 g/cm³

[2]
VASP calculation (GGA-PBE) on a relaxed structure of La4PmCd.

Cell: 5.826 6.642 10.972 Å, 90.00 105.40 90.00°
Element x y z (fractional)
La 0.941 0.208 0.883
La 0.059 0.708 0.117
La 0.457 0.893 0.914
La 0.543 0.393 0.086
La 0.690 0.544 0.380
La 0.310 0.044 0.620
La 0.757 0.140 0.515
La 0.243 0.640 0.485
Pm 0.867 0.696 0.734
Pm 0.133 0.196 0.266
Cd 0.610 0.951 0.221
Cd 0.390 0.451 0.779

Results
Energy of formation = -0.010 eV per atom
Calculated total energy = -0.156 hartree per atom
Density = 6.60 g/cm³
Distance to the lowest polymorph of the same formula = 94 meV per atom

[3]
VASP calculation (GGA-PBE) on a relaxed structure of La2Pm7Cd2.

Cell: 8.802 6.631 6.631 Å, 97.43 77.14 77.14°
Element x y z (fractional)
La 0.500 0.321 0.679
La 0.500 0.679 0.321
Pm 0.171 0.123 0.474
Pm 0.829 0.526 0.877
Pm 0.829 0.877 0.526
Pm 0.171 0.474 0.123
Pm 0.000 0.000 0.000
Pm 0.411 0.866 0.866
Pm 0.589 0.134 0.134
Cd 0.833 0.380 0.380
Cd 0.167 0.620 0.620

Results
Energy of formation = -0.048 eV per atom
Calculated total energy = -0.152 hartree per atom
Density = 6.98 g/cm³

[4]
VASP calculation (GGA-PBE) on a relaxed structure of La4Pm2Cd.

Cell: 6.854 6.854 12.483 Å, 97.29 97.29 122.52°
Element x y z (fractional)
Cd 0.078 0.578 0.500
Cd 0.828 0.828 0.000
Pm 0.474 0.867 0.354
Pm 0.513 0.120 0.646
Pm 0.117 0.224 0.854
Pm 0.370 0.263 0.146
La 0.049 0.683 0.775
La 0.663 0.254 0.939
La 0.908 0.274 0.225
La 0.504 0.413 0.439
La 0.974 0.065 0.561
La 0.315 0.724 0.061
La 0.933 0.799 0.275
La 0.524 0.658 0.725

Results
Energy of formation = -0.033 eV per atom
Calculated total energy = -0.159 hartree per atom
Density = 6.67 g/cm³
Distance to the lowest polymorph of the same formula = 0 meV per atom

[5]
VASP calculation (GGA-PBE) on a relaxed structure of La8PmCd2.

Cell: 5.488 8.620 9.141 Å, 112.48 107.47 90.00°
Element x y z (fractional)
Cd 0.220 0.631 0.440
Cd 0.780 0.369 0.560
Pm 0.500 0.000 0.000
La 0.602 0.467 0.204
La 0.311 0.044 0.623
La 0.149 0.203 0.298
La 0.050 0.740 0.099
La 0.851 0.797 0.702
La 0.689 0.956 0.377
La 0.398 0.533 0.796
La 0.950 0.260 0.901

Results
Energy of formation = -0.085 eV per atom
Calculated total energy = -0.157 hartree per atom
Density = 6.51 g/cm³
Distance to the lowest polymorph of the same formula = 0 meV per atom

[6]
VASP calculation (GGA-PBE) on a relaxed structure of La3Pm8Cd4.

Cell: 11.825 9.295 9.295 Å, 84.39 130.29 130.29°
Element x y z (fractional)
La 0.500 0.500 0.000
La 0.500 0.000 0.500
La 0.500 0.500 0.500
Pm 0.713 0.369 0.369
Pm 0.000 0.741 0.259
Pm 0.904 0.152 0.152
Pm 0.500 0.759 0.241
Pm 0.500 0.241 0.759
Pm 0.096 0.848 0.848
Pm 0.000 0.259 0.741
Pm 0.287 0.631 0.631
Cd 0.500 0.000 0.000
Cd 0.000 0.500 0.000
Cd 0.000 0.000 0.000
Cd 0.000 0.000 0.500

Results
Energy of formation = 0.126 eV per atom
Calculated total energy = -0.134 hartree per atom
Density = 6.78 g/cm³

- Which value of calculated total energy does entry 6 give?
  -0.134 hartree per atom

- Number 4 is which compound?
  La4Pm2Cd

- The highest calculated total energy belongs to which entry?
  La2Pm2Cd15